# 1
! BaGeP PBE relaxed; values from VASP
! - ΔH_f (0 K) (eV/atom) = -0.673
! - E (eV per cell) = -27.9
! - ρ (Mg/m³) = 4.34
! - size of the total moment (Bohr magnetons per cell) = 0.00
&SYSTEM
  ibrav = 0, nat = 6, ntyp = 3
/
ATOMIC_SPECIES
P 30.97 P.upf
Ge 72.64 Ge.upf
Ba 137.33 Ba.upf
ATOMIC_POSITIONS crystal
P 0.750 0.324 0.829
P 0.250 0.676 0.171
Ge 0.750 0.412 0.564
Ge 0.250 0.588 0.436
Ba 0.250 0.831 0.793
Ba 0.750 0.169 0.207
CELL_PARAMETERS angstrom
4.694 -0.014 0.025
0.011 4.607 0.490
-0.041 1.035 8.641

=====

# 2
! Ba2Ge2P PBE relaxed; values from VASP
! - ΔH_f (0 K) (eV/atom) = -0.356
! - E (eV per cell) = -40.5
! - ρ (Mg/m³) = 5.02
! - size of the total moment (Bohr magnetons per cell) = 0.00
&SYSTEM
  ibrav = 0, nat = 10, ntyp = 3
/
ATOMIC_SPECIES
P 30.97 P.upf
Ba 137.33 Ba.upf
Ge 72.64 Ge.upf
ATOMIC_POSITIONS crystal
P 0.000 0.000 0.000
P 0.500 0.500 0.000
Ba 0.314 0.186 0.500
Ba 0.186 0.686 0.500
Ba 0.814 0.314 0.500
Ba 0.686 0.814 0.500
Ge 0.115 0.385 0.000
Ge 0.385 0.885 0.000
Ge 0.615 0.115 0.000
Ge 0.885 0.615 0.000
CELL_PARAMETERS angstrom
7.796 0.000 0.000
0.000 7.796 0.000
0.000 0.000 4.905